Record 1
# ErThTeRu

A relaxed structure of ErThTeRu (PBE-GGA, the Alexandria database).

Properties
- ΔE_f (raw): -0.804 eV/atom
- Space group: R3m, No. 160

Lattice parameters (Å, degrees): 4.147 4.146 7.754 90.00 105.56 119.99
Sites, in units of the cell vectors:
Ru 0.304 0.550 0.869
Th 0.099 0.948 0.062
Er 0.497 0.146 0.659
Te 0.978 0.387 0.380

***

Record 2
# TbHoNiIr

A relaxed structure of TbHoNiIr (PBE-GGA, the Alexandria database).

Properties
- E_form: -646 meV/atom
- Space group: F-43m, No. 216

Lattice parameters (Å, degrees): 4.820 4.820 4.820 60.00 60.00 60.00
Sites, in units of the cell vectors:
Ir 0.500 0.500 0.500
Ni 0.000 0.000 0.000
Tb 0.750 0.750 0.750
Ho 0.250 0.250 0.250

***

Record 3
# Zr2VMo

A relaxed structure of Zr2VMo (PBE-GGA, the Alexandria database).

Properties
- Energy above the most stable polymorph in this dataset: 0.017 eV/atom
- E_form: 105 meV/atom
- Space group: P4/mmm, No. 123

Lattice parameters (Å, degrees): 3.388 4.716 4.716 90.00 90.00 90.00
Sites, in units of the cell vectors:
V 0.500 0.500 0.500
Zr 0.000 0.000 0.500
Zr 0.000 0.500 0.000
Mo 0.500 0.000 0.000

***

Record 4
# CsInI3

A relaxed structure of CsInI3 (PBE-GGA, the Alexandria database).

Properties
- ΔE_f (raw): -0.921 eV/atom
- Space group: Fm-3m, No. 225

Lattice parameters (Å, degrees): 8.794 8.794 8.794 60.00 60.00 60.00
Sites, in units of the cell vectors:
I 0.240 0.760 0.760
I 0.760 0.240 0.760
I 0.240 0.760 0.240
I 0.240 0.240 0.760
I 0.760 0.760 0.240
I 0.760 0.240 0.240
Cs 0.250 0.250 0.250
Cs 0.750 0.750 0.750
In 0.000 0.000 0.000
In 0.500 0.500 0.500

***

Record 5
# CeTmMgMn

A relaxed structure of CeTmMgMn (PBE-GGA, the Alexandria database).

Properties
- E_form: 130 meV/atom
- Space group: F-43m, No. 216

Lattice parameters (Å, degrees): 5.132 5.132 5.132 60.00 60.00 60.00
Sites, in units of the cell vectors:
Mg 0.500 0.500 0.500
Tm 0.250 0.250 0.250
Mn 0.000 0.000 0.000
Ce 0.750 0.750 0.750

***

Record 6
# Nd4GeTe2As

A relaxed structure of Nd4GeTe2As (PBE-GGA, the Alexandria database).

Properties
- ΔE_f (raw): -1.397 eV/atom
- Space group: P2/m, No. 10

Lattice parameters (Å, degrees): 4.372 7.568 7.729 109.02 90.00 90.00
Sites, in units of the cell vectors:
As 0.000 0.000 0.000
Te 0.500 0.000 0.500
Te 0.000 0.500 0.500
Ge 0.500 0.500 0.000
Nd 0.000 0.739 0.224
Nd 0.000 0.261 0.776
Nd 0.500 0.243 0.223
Nd 0.500 0.757 0.777

***

Record 7
# PdSI2

A relaxed structure of PdSI2 (PBE-GGA, the Alexandria database).

Properties
- ΔE_f (raw): 0.708 eV/atom
- Space group: Fm-3m, No. 225

Lattice parameters (Å, degrees): 5.074 5.074 5.074 60.00 60.00 60.00
Sites, in units of the cell vectors:
I 0.750 0.750 0.750
I 0.250 0.250 0.250
Pd 0.500 0.500 0.500
S 0.000 0.000 0.000

***

Record 8
# TcAuS2N

A relaxed structure of TcAuS2N (PBE-GGA, the Alexandria database).

Properties
- Energy above the most stable polymorph in this dataset: 1.066 eV/atom
- ΔE_f (raw): 1.575 eV/atom
- Space group: P4/mmm, No. 123

Lattice parameters (Å, degrees): 5.038 5.038 3.780 90.00 90.00 90.00
Sites, in units of the cell vectors:
N 0.000 0.000 0.500
Au 0.000 0.000 0.000
S 0.500 0.000 0.000
S 0.000 0.500 0.000
Tc 0.500 0.500 0.500

***

Record 9
# Si2HgBr

A relaxed structure of Si2HgBr (PBE-GGA, the Alexandria database).

Properties
- Energy above the most stable polymorph in this dataset: 0.491 eV/atom
- ΔE_f (raw): 0.639 eV/atom
- Space group: Pmmm, No. 47

Lattice parameters (Å, degrees): 3.689 3.955 6.363 90.00 90.00 90.00
Sites, in units of the cell vectors:
Br 0.500 0.500 0.250
Si 0.000 0.000 0.560
Si 0.000 0.000 0.940
Hg 0.500 0.500 0.750

***

Record 10
# HgGeBi2

A relaxed structure of HgGeBi2 (PBE-GGA, the Alexandria database).

Properties
- E_form: 176 meV/atom
- Space group: I-42d, No. 122

Lattice parameters (Å, degrees): 6.736 6.736 8.015 65.15 65.15 90.00
Sites, in units of the cell vectors:
Bi 0.875 0.858 0.750
Bi 0.142 0.625 0.250
Bi 0.375 0.392 0.750
Bi 0.608 0.125 0.250
Hg 0.750 0.250 0.500
Hg 0.000 0.000 0.000
Ge 0.250 0.750 0.500
Ge 0.500 0.500 0.000

***

Record 11
# CaPr2Hg4

A relaxed structure of CaPr2Hg4 (PBE-GGA, the Alexandria database).

Properties
- Energy above the most stable polymorph in this dataset: 0.286 eV/atom
- E_form: -85 meV/atom
- Space group: I4/mmm, No. 139

Lattice parameters (Å, degrees): 5.617 5.617 8.874 108.45 108.45 90.00
Sites, in units of the cell vectors:
Pr 0.608 0.608 0.217
Pr 0.392 0.392 0.783
Hg 0.193 0.193 0.386
Hg 0.000 0.500 0.000
Hg 0.807 0.807 0.614
Hg 0.500 0.000 0.000
Ca 0.000 0.000 0.000

***

Record 12
# LiCoPb2

A relaxed structure of LiCoPb2 (PBE-GGA, the Alexandria database).

Properties
- E_form: 118 meV/atom
- Space group: P2/m, No. 10

Lattice parameters (Å, degrees): 3.317 3.343 8.151 66.10 90.00 90.00
Sites, in units of the cell vectors:
Pb 0.000 0.969 0.030
Pb 0.000 0.531 0.470
Co 0.500 0.250 0.250
Li 0.500 0.750 0.750

***

Record 13
# LaScIr3

A relaxed structure of LaScIr3 (PBE-GGA, the Alexandria database).

Properties
- Energy above the most stable polymorph in this dataset: 1.016 eV/atom
- E_form: 1322 meV/atom
- Space group: Pm-3m, No. 221

Lattice parameters (Å, degrees): 4.921 4.921 4.921 90.00 90.00 90.00
Sites, in units of the cell vectors:
La 0.000 0.000 0.000
Ir 0.000 0.500 0.000
Ir 0.000 0.000 0.500
Ir 0.500 0.000 0.000
Sc 0.500 0.500 0.500

***

Record 14
# CuHPd3

A relaxed structure of CuHPd3 (PBE-GGA, the Alexandria database).

Properties
- Energy above the most stable polymorph in this dataset: 0.010 eV/atom
- Space group: Cm, No. 8

Lattice parameters (Å, degrees): 5.581 5.581 4.835 106.61 106.61 59.99
Sites, in units of the cell vectors:
Pd 0.495 0.829 0.824
Pd 0.738 0.078 0.335
Pd 0.230 0.586 0.335
Pd 0.233 0.081 0.319
Pd 0.981 0.344 0.824
Pd 0.492 0.340 0.840
H 0.112 0.960 0.563
H 0.366 0.214 0.084
Cu 0.735 0.584 0.327
Cu 0.984 0.831 0.831

***

Record 15
# Sr2Bi4Pd3Rh

A relaxed structure of Sr2Bi4Pd3Rh (PBE-GGA, the Alexandria database).

Properties
- E_form: -542 meV/atom
- Space group: P-4m2, No. 115

Lattice parameters (Å, degrees): 4.830 4.830 11.079 90.00 90.00 90.00
Sites, in units of the cell vectors:
Bi 0.500 0.000 0.620
Bi 0.500 0.500 0.000
Bi 0.000 0.500 0.380
Bi 0.000 0.000 0.000
Rh 0.500 0.500 0.500
Sr 0.000 0.500 0.735
Sr 0.500 0.000 0.265
Pd 0.000 0.500 0.135
Pd 0.500 0.000 0.865
Pd 0.000 0.000 0.500

***

Record 16
# LiHo2US6

A relaxed structure of LiHo2US6 (PBE-GGA, the Alexandria database).

Properties
- ΔE_f (raw): -1.285 eV/atom
- Space group: P4mm, No. 99

Lattice parameters (Å, degrees): 6.339 6.312 6.312 90.00 90.00 90.00
Sites, in units of the cell vectors:
S 0.179 0.500 0.500
S 0.747 0.240 0.240
S 0.171 0.000 0.000
S 0.747 0.760 0.760
S 0.747 0.760 0.240
S 0.747 0.240 0.760
U 0.594 0.500 0.500
Ho 0.989 0.500 0.000
Ho 0.989 0.000 0.500
Li 0.537 0.000 0.000

***

Record 17
# MnTc2RhN

A relaxed structure of MnTc2RhN (PBE-GGA, the Alexandria database).

Properties
- ΔE_f (raw): -0.021 eV/atom
- Space group: P4/mmm, No. 123

Lattice parameters (Å, degrees): 4.007 4.007 3.825 90.00 90.00 90.00
Sites, in units of the cell vectors:
Rh 0.500 0.500 0.500
Mn 0.000 0.000 0.500
Tc 0.500 0.000 0.000
Tc 0.000 0.500 0.000
N 0.000 0.000 0.000

***

Record 18
# Th3H5N

A relaxed structure of Th3H5N (PBE-GGA, the Alexandria database).

Properties
- Total DFT energy (no corrections): -6.02 eV per atom
- Space group: C2/c, No. 15

Lattice parameters (Å, degrees): 5.532 6.819 7.832 106.72 90.00 113.93
Sites, in units of the cell vectors:
H 0.914 0.332 0.578
H 0.086 0.668 0.422
H 0.918 0.335 0.089
H 0.747 0.000 0.250
H 0.418 0.332 0.078
H 0.582 0.668 0.922
H 0.253 0.000 0.750
H 0.417 0.335 0.589
H 0.583 0.665 0.411
H 0.082 0.665 0.911
N 0.255 0.000 0.250
N 0.745 0.000 0.750
Th 0.326 0.678 0.169
Th 0.352 0.678 0.669
Th 0.648 0.322 0.331
Th 0.000 0.000 0.500
Th 0.674 0.322 0.831
Th 0.000 0.000 0.000

***

Record 19
# AcBRuO5

A relaxed structure of AcBRuO5 (PBE-GGA, the Alexandria database).

Properties
- ΔE_f (raw): -2.140 eV/atom
- Space group: C2/c, No. 15

Lattice parameters (Å, degrees): 5.531 5.531 7.024 102.75 102.75 107.58
Sites, in units of the cell vectors:
O 0.117 0.685 0.872
O 0.059 0.941 0.250
O 0.421 0.243 0.093
O 0.883 0.315 0.128
O 0.757 0.579 0.407
O 0.243 0.421 0.593
O 0.579 0.757 0.907
O 0.315 0.883 0.628
O 0.685 0.117 0.372
O 0.941 0.059 0.750
Ac 0.651 0.349 0.750
Ac 0.349 0.651 0.250
Ru 0.000 0.000 0.000
Ru 0.000 0.000 0.500
B 0.694 0.306 0.250
B 0.306 0.694 0.750

***

Record 20
# La5Ge2I

A relaxed structure of La5Ge2I (PBE-GGA, the Alexandria database).

Properties
- ΔE_f (raw): -0.712 eV/atom
- Space group: I4/mcm, No. 140

Lattice parameters (Å, degrees): 8.279 8.279 9.275 116.51 116.51 90.00
Sites, in units of the cell vectors:
Ge 0.846 0.654 0.000
Ge 0.154 0.346 0.000
Ge 0.346 0.846 0.000
Ge 0.654 0.154 0.000
La 0.715 0.215 0.726
La 0.989 0.489 0.274
La 0.000 0.000 0.000
La 0.489 0.285 0.274
La 0.215 0.011 0.726
La 0.285 0.785 0.274
La 0.785 0.989 0.274
La 0.500 0.500 0.000
La 0.511 0.715 0.726
La 0.011 0.511 0.726
I 0.250 0.250 0.500
I 0.750 0.750 0.500